DFT (PBE) results for Ti2Ge2S after structural relaxation.

## Properties
Total magnetic moment   0.00 μB per atom
Formation energy (no corrections)   -2.32 eV per formula unit

Unit cell a=7.2351 b=7.2351 c=7.2351 alpha=151.97 beta=151.97 gamma=40.06
Closest atoms and distances in Å follow each position.
Element x y z (fractional)
Ti 0.0994 0.0994 0.0000  4 Ge 2.69, 1 Ti 2.70, 4 S 2.82
Ti 0.9006 0.9006 0.0000  4 Ge 2.69, 1 Ti 2.70, 4 S 2.82
Ge 0.2500 0.7500 0.5000  4 Ge 2.48, 4 Ti 2.69
Ge 0.7500 0.2500 0.5000  4 Ge 2.48, 4 Ti 2.69
S 0.5000 0.5000 0.0000  8 Ti 2.82